Model 1:
This record from Alexandria describes a relaxed Ta2MoF crystal. The functional is PBE+U.

Geometry as POSCAR:
```
Ta2MoF
1.0
-3.331 3.331 2.929
3.331 -3.331 2.929
3.331 3.331 -2.929
Ta Mo F
4 2 2
Direct
0.065 0.125 0.440
0.375 0.935 0.060
0.685 0.625 0.560
0.875 0.315 0.940
0.250 0.750 0.500
0.500 0.500 0.000
0.000 0.000 0.000
0.750 0.250 0.500
```

## Properties
Calculated volume ... 130.02 Å³/cell
SG ... I-42d
Fermi-level density of states ... 0.88 states/eV per atom

Model 2:
This record from Alexandria describes a relaxed Ta2MoF crystal. The functional is PBE+U.

Geometry as POSCAR:
```
Ta2MoF
1.0
0.000 3.192 3.192
3.192 0.000 3.192
3.192 3.192 0.000
Ta Mo F
2 1 1
Direct
0.250 0.250 0.250
0.750 0.750 0.750
0.000 0.000 0.000
0.500 0.500 0.500
```

## Properties
Calculated volume ... 65.05 Å³/cell
SG ... Fm-3m
Fermi-level density of states ... 1.17 states/eV per atom

The structure with the most favorable energy is model 1; the runner-up is 0.154 eV/atom above it.

Model 1:
This record from Alexandria describes a relaxed TcMo3F crystal. The functional is PBE+U.

Geometry as POSCAR:
```
TcMo3F
1.0
4.214 0.000 0.000
0.000 4.214 0.000
0.000 0.000 4.214
Tc Mo F
1 3 1
Direct
0.000 0.000 0.000
0.000 0.500 0.500
0.500 0.000 0.500
0.500 0.500 0.000
0.500 0.500 0.500
```

## Properties
Calculated volume ... 74.86 Å³/cell
SG ... Pm-3m
Fermi-level density of states ... 0.66 states/eV per atom

Model 2:
This record from Alexandria describes a relaxed TcMo3F crystal. The functional is PBE+U.

Geometry as POSCAR:
```
TcMo3F
1.0
5.067 0.000 0.000
0.000 5.067 0.000
0.000 0.000 5.067
Tc Mo F
1 3 1
Direct
0.000 0.000 0.000
0.000 0.000 0.500
0.000 0.500 0.000
0.500 0.000 0.000
0.500 0.500 0.500
```

## Properties
Calculated volume ... 130.11 Å³/cell
SG ... Pm-3m
Fermi-level density of states ... 0.52 states/eV per atom

The structure with the most favorable energy is model 1; the runner-up is 0.214 eV/atom above it.

Model 1:
This record from Alexandria describes a relaxed Tc2Mo2F crystal. The functional is PBE+U.

Geometry as POSCAR:
```
Tc2Mo2F
1.0
-1.767 1.767 6.674
1.767 -1.767 6.674
1.767 1.767 -6.674
Tc Mo F
2 2 1
Direct
0.250 0.750 0.500
0.750 0.250 0.500
0.097 0.097 0.000
0.903 0.903 0.000
0.500 0.500 0.000
```

## Properties
Calculated volume ... 83.38 Å³/cell
SG ... I4/mmm
Fermi-level density of states ... 0.88 states/eV per atom

Model 2:
This record from Alexandria describes a relaxed Tc2Mo2F crystal. The functional is PBE+U.

Geometry as POSCAR:
```
Tc2Mo2F
1.0
7.361 0.000 0.000
0.000 7.361 0.000
0.000 0.000 3.072
Tc Mo F
4 4 2
Direct
0.138 0.362 0.000
0.362 0.862 0.000
0.638 0.138 0.000
0.862 0.638 0.000
0.155 0.655 0.500
0.345 0.155 0.500
0.655 0.845 0.500
0.845 0.345 0.500
0.000 0.000 0.500
0.500 0.500 0.500
```

## Properties
Calculated volume ... 166.47 Å³/cell
SG ... P4/mbm
Fermi-level density of states ... 0.69 states/eV per atom

The structure with the most favorable energy is model 2; the runner-up is 0.249 eV/atom above it.

Model 1:
This record from Alexandria describes a relaxed TeMoF3 crystal. The functional is PBE+U.

Geometry as POSCAR:
```
TeMoF3
1.0
4.675 0.000 0.000
0.000 4.675 0.000
0.000 0.000 4.675
Te Mo F
1 1 3
Direct
0.000 0.000 0.000
0.500 0.500 0.500
0.000 0.000 0.500
0.000 0.500 0.000
0.500 0.000 0.000
```

## Properties
Calculated volume ... 102.16 Å³/cell
SG ... Pm-3m
Fermi-level density of states ... 0.47 states/eV per atom

Model 2:
This record from Alexandria describes a relaxed TeMoF3 crystal. The functional is PBE+U.

Geometry as POSCAR:
```
TeMoF3
1.0
4.391 0.000 0.000
0.000 4.391 0.000
0.000 0.000 4.391
Te Mo F
1 1 3
Direct
0.000 0.000 0.000
0.500 0.500 0.500
0.000 0.500 0.500
0.500 0.000 0.500
0.500 0.500 0.000
```

## Properties
Calculated volume ... 84.65 Å³/cell
SG ... Pm-3m
Fermi-level density of states ... 0.30 states/eV per atom

The structure with the most favorable energy is model 2; the runner-up is 0.720 eV/atom above it.